Entry 1:
KLi2ZrFe, optimized geometry, DFT GGA-PBE; energy of formation = 1.539 eV/atom; spin magnetization = 0.001 μB/atom
1.0
4.7580 0.0000 0.0000
0.0000 4.7580 0.0000
0.0000 0.0000 4.8586
K Li Zr Fe
1 2 1 1
Direct
0.0000 0.0000 0.0000
0.0000 0.5000 0.5000
0.5000 0.0000 0.5000
0.5000 0.5000 0.0000
0.0000 0.0000 0.5000


Entry 2:
KMg2Fe, optimized geometry, DFT GGA-PBE; energy of formation = 0.753 eV/atom; spin magnetization = 0.551 μB/atom; E above lowest polymorph = 0.358 eV/atom
1.0
5.4577 0.0000 0.0000
0.0000 5.4577 0.0000
0.0000 0.0000 3.1256
K Mg Fe
1 2 1
Direct
0.0000 0.0000 0.0000
0.0000 0.5000 0.5000
0.5000 0.0000 0.5000
0.5000 0.5000 0.0000


Entry 3:
KMg2Fe, optimized geometry, DFT GGA-PBE; energy of formation = 0.813 eV/atom; spin magnetization = 0.681 μB/atom; E above lowest polymorph = 0.418 eV/atom
1.0
5.7562 0.0000 0.0000
0.0000 5.7562 0.0000
0.0000 0.0000 18.0102
K Mg Fe
4 8 4
Direct
0.0000 0.0000 0.0000
0.0000 0.5000 0.2500
0.5000 0.0000 0.7500
0.5000 0.5000 0.5000
0.0060 0.2500 0.6250
0.2500 0.5060 0.8750
0.2500 0.9940 0.3750
0.4940 0.2500 0.1250
0.5060 0.7500 0.1250
0.7500 0.0060 0.3750
0.7500 0.4940 0.8750
0.9940 0.7500 0.6250
0.0000 0.0000 0.5000
0.0000 0.5000 0.7500
0.5000 0.0000 0.2500
0.5000 0.5000 0.0000


Entry 4:
KMg14Fe, optimized geometry, DFT GGA-PBE; energy of formation = 0.172 eV/atom; spin magnetization = 0.159 μB/atom; E above lowest polymorph = 0.000 eV/atom
1.0
6.4335 0.0000 0.0000
-3.2167 5.5716 0.0000
0.0000 0.0000 10.4201
K Mg Fe
1 14 1
Direct
0.0000 0.0000 0.0000
0.0104 0.5052 0.0000
0.1642 0.3283 0.2734
0.1642 0.3283 0.7266
0.1642 0.8358 0.2734
0.1642 0.8358 0.7266
0.4948 0.5052 0.0000
0.4948 0.9896 0.0000
0.5047 0.0094 0.5000
0.5047 0.4953 0.5000
0.6667 0.3333 0.2404
0.6667 0.3333 0.7596
0.6717 0.8358 0.2734
0.6717 0.8358 0.7266
0.9906 0.4953 0.5000
0.0000 0.0000 0.5000


Entry 5:
KMg2Fe, optimized geometry, DFT GGA-PBE; energy of formation = 0.539 eV/atom; spin magnetization = 0.642 μB/atom; E above lowest polymorph = 0.145 eV/atom
1.0
9.6891 0.0000 0.0000
0.0000 3.0457 0.0000
-0.6435 0.0000 7.4073
K Mg Fe
2 4 2
Direct
0.0000 0.0000 0.0000
0.5000 0.5000 0.0000
0.2332 0.0000 0.6431
0.4876 0.0000 0.4398
0.7332 0.5000 0.6431
0.9876 0.5000 0.4398
0.2558 0.5000 0.3453
0.7558 0.0000 0.3453


Entry 6:
KMg2Fe, optimized geometry, DFT GGA-PBE; energy of formation = 0.507 eV/atom; spin magnetization = 0.574 μB/atom; E above lowest polymorph = 0.113 eV/atom
1.0
3.1611 0.0000 0.0000
-1.5806 2.7376 0.0000
0.0000 0.0000 32.6798
K Mg Fe
3 6 3
Direct
0.0000 0.0000 0.0000
0.3333 0.6667 0.6667
0.6667 0.3333 0.3333
0.0000 0.0000 0.2311
0.0000 0.0000 0.7689
0.3333 0.6667 0.4355
0.3333 0.6667 0.8978
0.6667 0.3333 0.1022
0.6667 0.3333 0.5645
0.0000 0.0000 0.5000
0.3333 0.6667 0.1667
0.6667 0.3333 0.8333


Entry 7:
KMgFe, optimized geometry, DFT GGA-PBE; energy of formation = 1.419 eV/atom; spin magnetization = 1.086 μB/atom; E above lowest polymorph = 0.717 eV/atom
1.0
7.6113 0.0000 0.0000
0.0000 7.6113 0.0000
0.0000 0.0000 7.6113
K Mg Fe
4 4 4
Direct
0.0000 0.0000 0.0000
0.0000 0.5000 0.5000
0.5000 0.0000 0.5000
0.5000 0.5000 0.0000
0.2500 0.2500 0.7500
0.2500 0.7500 0.2500
0.7500 0.2500 0.2500
0.7500 0.7500 0.7500
0.2500 0.2500 0.2500
0.2500 0.7500 0.7500
0.7500 0.2500 0.7500
0.7500 0.7500 0.2500


Entry 8:
KMg14Fe, optimized geometry, DFT GGA-PBE; energy of formation = 0.182 eV/atom; spin magnetization = 0.167 μB/atom; E above lowest polymorph = 0.010 eV/atom
1.0
10.4374 0.0000 0.0000
0.0000 3.1882 5.6214
0.0000 -3.1882 5.6214
K Mg Fe
1 14 1
Direct
0.0000 0.0000 0.0000
0.0000 0.0062 0.4930
0.0000 0.4930 0.0062
0.2258 0.6407 0.6407
0.2503 0.1573 0.6404
0.2503 0.6404 0.1573
0.2649 0.1546 0.1546
0.5000 0.4854 0.4854
0.5000 0.4912 0.9789
0.5000 0.9789 0.4912
0.5000 0.9827 0.9827
0.7351 0.1546 0.1546
0.7497 0.1573 0.6404
0.7497 0.6404 0.1573
0.7742 0.6407 0.6407
0.0000 0.4692 0.4692


Entry 9:
KMg2Fe, optimized geometry, DFT GGA-PBE; energy of formation = 0.782 eV/atom; spin magnetization = 0.699 μB/atom; E above lowest polymorph = 0.388 eV/atom
1.0
4.6912 0.0000 0.0000
0.0000 4.6912 0.0000
0.0000 0.0000 4.6721
K Mg Fe
1 2 1
Direct
0.0000 0.0000 0.0000
0.0000 0.5000 0.5000
0.5000 0.0000 0.5000
0.5000 0.5000 0.0000


Entry 10:
KMg2Fe, optimized geometry, DFT GGA-PBE; energy of formation = 0.507 eV/atom; spin magnetization = 0.621 μB/atom; E above lowest polymorph = 0.113 eV/atom
1.0
3.0075 0.0000 0.0000
0.0000 4.6282 0.0000
-0.0316 0.0000 7.9084
K Mg Fe
1 2 1
Direct
0.0000 0.0000 0.0000
0.4994 0.0000 0.4140
0.5052 0.5000 0.6526
0.9998 0.5000 0.3646


Entry 11:
KMg2Fe, optimized geometry, DFT GGA-PBE; energy of formation = 0.786 eV/atom; spin magnetization = 0.720 μB/atom; E above lowest polymorph = 0.392 eV/atom
1.0
3.2208 0.0000 0.0000
0.0000 5.5477 0.0000
0.0000 0.0000 5.5987
K Mg Fe
1 2 1
Direct
0.0000 0.0000 0.0000
0.0000 0.5000 0.5000
0.5000 0.0000 0.5000
0.5000 0.5000 0.0000


Entry 12:
KMg2Fe, optimized geometry, DFT GGA-PBE; energy of formation = 0.766 eV/atom; spin magnetization = 0.706 μB/atom; E above lowest polymorph = 0.371 eV/atom
1.0
5.4508 0.0000 0.0000
0.0000 5.4508 0.0000
0.0000 0.0000 6.8722
K Mg Fe
2 4 2
Direct
0.0000 0.0000 0.0000
0.5000 0.5000 0.5000
0.0000 0.0000 0.5000
0.0000 0.5000 0.7500
0.5000 0.0000 0.2500
0.5000 0.5000 0.0000
0.0000 0.5000 0.2500
0.5000 0.0000 0.7500